(1)
First-principles (PBE) data for an optimized crystal structure of RbTi2O4, as listed in Alexandria. Values from VASP.

SG: I-4
Magnetic moment, μB/f.u.: 0.0
DOS at the Fermi energy, states/eV/atom: 0.02
Uncorrected formation energy, kJ/mol of atoms: -246.0

Structure (Quantum ESPRESSO input):
```
&SYSTEM
  ibrav = 0, nat = 14, ntyp = 3
/
ATOMIC_SPECIES
Rb 85.47 Rb.upf
Ti 47.87 Ti.upf
O 16.00 O.upf
ATOMIC_POSITIONS crystal
Rb 0.2500 0.7500 0.5000
Rb 0.0003 0.0003 0.0000
Ti 0.6439 0.3207 0.7294
Ti 0.5913 0.9146 0.2706
Ti 0.6795 0.4086 0.3234
Ti 0.0852 0.3561 0.6766
O 0.8367 0.1483 0.2999
O 0.5912 0.6617 0.3525
O 0.8484 0.5368 0.7001
O 0.8513 0.1514 0.6880
O 0.4634 0.1633 0.3120
O 0.3092 0.2386 0.6474
O 0.3382 0.6909 0.9294
O 0.7614 0.4087 0.0706
CELL_PARAMETERS angstrom
6.6689 -0.3995 -0.1403
-0.8463 6.6273 0.1296
-2.8072 -3.2024 5.1526
```

---

(2)
First-principles (PBE) data for an optimized crystal structure of K2HfTlSb, as listed in Alexandria. Values from VASP.

SG: P4/mmm
Magnetic moment, μB/f.u.: 2.7
DOS at the Fermi energy, states/eV/atom: 1.16
Uncorrected formation energy, kJ/mol of atoms: 93.4

Structure (Quantum ESPRESSO input):
```
&SYSTEM
  ibrav = 0, nat = 5, ntyp = 4
/
ATOMIC_SPECIES
Sb 121.76 Sb.upf
Tl 204.38 Tl.upf
Hf 178.49 Hf.upf
K 39.10 K.upf
ATOMIC_POSITIONS crystal
Sb 0.0000 0.0000 0.0000
Tl 0.0000 0.5000 0.0000
Hf 0.5000 0.5000 0.5000
K 0.0000 0.0000 0.5000
K 0.5000 0.0000 0.0000
CELL_PARAMETERS angstrom
6.6512 0.0000 0.0000
0.0000 5.6858 0.0000
0.0000 0.0000 6.6512
```

---

(3)
First-principles (PBE) data for an optimized crystal structure of La3ZnN, as listed in Alexandria. Values from VASP.

SG: P2_1/m
Magnetic moment, μB/f.u.: 0.0
DOS at the Fermi energy, states/eV/atom: 0.82
Uncorrected formation energy, kJ/mol of atoms: -60.9

Structure (Quantum ESPRESSO input):
```
&SYSTEM
  ibrav = 0, nat = 10, ntyp = 3
/
ATOMIC_SPECIES
Zn 65.41 Zn.upf
N 14.01 N.upf
La 138.91 La.upf
ATOMIC_POSITIONS crystal
Zn 0.6067 0.2500 0.6951
Zn 0.3933 0.7500 0.3049
N 0.0298 0.2500 0.9866
N 0.9702 0.7500 0.0134
La 0.7381 0.4723 0.1305
La 0.2619 0.5277 0.8695
La 0.7381 0.0277 0.1305
La 0.2619 0.9723 0.8695
La 0.0993 0.2500 0.4509
La 0.9007 0.7500 0.5491
CELL_PARAMETERS angstrom
6.6606 0.0000 2.1353
0.0000 7.6728 0.0000
0.3233 0.0000 5.1336
```

---

(4)
First-principles (PBE) data for an optimized crystal structure of TiHgCl2, as listed in Alexandria. Values from VASP.

SG: I-42d
Magnetic moment, μB/f.u.: 2.0
DOS at the Fermi energy, states/eV/atom: 0.06
Uncorrected formation energy, kJ/mol of atoms: -78.3

Structure (Quantum ESPRESSO input):
```
&SYSTEM
  ibrav = 0, nat = 8, ntyp = 3
/
ATOMIC_SPECIES
Cl 35.45 Cl.upf
Hg 200.59 Hg.upf
Ti 47.87 Ti.upf
ATOMIC_POSITIONS crystal
Cl 0.4928 0.1250 0.2500
Cl 0.2572 0.6250 0.2500
Cl 0.3750 0.5072 0.7500
Cl 0.8750 0.7428 0.7500
Hg 0.0000 0.0000 0.0000
Hg 0.7500 0.2500 0.5000
Ti 0.5000 0.5000 0.0000
Ti 0.2500 0.7500 0.5000
CELL_PARAMETERS angstrom
7.7187 0.0000 0.0000
0.0000 7.7187 0.0000
3.8594 3.8594 4.4177
```

---

Look up the DOS at the Fermi energy of the second one.
1.16 states/eV/atom

---

The highest uncorrected formation energy belongs to which entry?
K2HfTlSb

---

Which value of uncorrected formation energy does entry 3 give?
-60.9 kJ/mol of atoms